No. 1
12
Lattice="7.3393 0.0000 0.0000 0.0000 7.3393 0.0000 0.0000 0.0000 7.3393" Properties=species:S:1:pos:R:3 comment="PBE BaAlW, relaxed" crystal_system=cubic dos_ef_per_ev_cell=4.65 sg="No. 216" magmom_total_mub_per_cell=12.1 de_polymorph_ev_per_atom=1.395 pbc="T T T"
Ba 0.0000 0.0000 0.0000
Ba 0.0000 3.6697 3.6697
Ba 3.6697 0.0000 3.6697
Ba 3.6697 3.6697 0.0000
Al 1.8348 1.8348 5.5045
Al 1.8348 5.5045 1.8348
Al 5.5045 1.8348 1.8348
Al 5.5045 5.5045 5.5045
W 1.8348 1.8348 1.8348
W 1.8348 5.5045 5.5045
W 5.5045 1.8348 5.5045
W 5.5045 5.5045 1.8348

=====

No. 2
4
Lattice="2.9740 0.0000 0.0000 0.0000 2.9740 0.0000 0.0000 0.0000 9.7156" Properties=species:S:1:pos:R:3 comment="PBE BaAl2W, relaxed" crystal_system=tetragonal dos_ef_per_ev_cell=2.46 sg="No. 99" magmom_total_mub_per_cell=0.0 de_polymorph_ev_per_atom=0.343 pbc="T T T"
Ba 0.0000 0.0000 0.0000
Al 0.0000 0.0000 4.7484
Al 1.4870 1.4870 6.7216
W 1.4870 1.4870 2.9126

=====

No. 3
5
Lattice="5.3157 0.0000 0.0000 0.0000 5.3157 0.0000 0.0000 0.0000 5.3157" Properties=species:S:1:pos:R:3 comment="PBE BaAl3W, relaxed" crystal_system=cubic dos_ef_per_ev_cell=11.67 sg="No. 221" magmom_total_mub_per_cell=0.6 de_polymorph_ev_per_atom=2.703 pbc="T T T"
Ba 0.0000 0.0000 0.0000
Al 0.0000 0.0000 2.6579
Al 0.0000 2.6579 0.0000
Al 2.6579 0.0000 0.0000
W 2.6579 2.6579 2.6579

=====

No. 4
4
Lattice="3.3453 0.0000 0.0000 0.0000 3.3453 0.0000 0.0000 0.0000 7.9527" Properties=species:S:1:pos:R:3 comment="PBE BaAl2W, relaxed" crystal_system=tetragonal dos_ef_per_ev_cell=4.46 sg="No. 123" magmom_total_mub_per_cell=0.0 de_polymorph_ev_per_atom=0.000 pbc="T T T"
Ba 0.0000 0.0000 0.0000
Al 1.6726 1.6726 2.6526
Al 1.6726 1.6726 5.3001
W 0.0000 0.0000 3.9764

=====

No. 5
10
Lattice="4.6579 0.0000 0.0000 0.0000 4.6579 0.0000 0.0000 0.0000 14.1973" Properties=species:S:1:pos:R:3 comment="PBE Ba2AlW2, relaxed" crystal_system=tetragonal dos_ef_per_ev_cell=9.93 sg="No. 139" magmom_total_mub_per_cell=0.0 de_polymorph_ev_per_atom=0.812 pbc="T T T"
Ba 0.0000 2.3290 3.5493
Ba 0.0000 2.3290 10.6480
Ba 2.3290 0.0000 3.5493
Ba 2.3290 0.0000 10.6480
Al 0.0000 0.0000 0.0000
Al 2.3290 2.3290 7.0987
W 0.0000 0.0000 6.0322
W 0.0000 0.0000 8.1651
W 2.3290 2.3290 1.0664
W 2.3290 2.3290 13.1309

=====

No. 6
6
Lattice="3.5965 0.0000 0.0000 0.0000 3.5965 0.0000 0.0000 0.0000 12.0974" Properties=species:S:1:pos:R:3 comment="PBE BaAlW, relaxed" crystal_system=tetragonal dos_ef_per_ev_cell=3.56 sg="No. 107" magmom_total_mub_per_cell=0.0 de_polymorph_ev_per_atom=0.000 pbc="T T T"
Ba 0.0000 0.0000 0.0000
Ba 1.7983 1.7983 6.0487
Al 0.0000 0.0000 3.1752
Al 1.7983 1.7983 9.2239
W 0.0000 0.0000 8.6586
W 1.7983 1.7983 2.6099

=====

No. 7
4
Lattice="4.4326 0.0000 0.0000 0.0000 4.4326 0.0000 0.0000 0.0000 4.6058" Properties=species:S:1:pos:R:3 comment="PBE BaAl2W, relaxed" crystal_system=tetragonal dos_ef_per_ev_cell=4.48 sg="No. 123" magmom_total_mub_per_cell=1.3 de_polymorph_ev_per_atom=0.804 pbc="T T T"
Ba 0.0000 0.0000 0.0000
Al 0.0000 2.2163 2.3029
Al 2.2163 0.0000 2.3029
W 2.2163 2.2163 0.0000

=====

No. 8
8
Lattice="6.9066 0.0000 0.0000 0.0000 8.3115 0.0000 -0.2583 0.0000 2.9426" Properties=species:S:1:pos:R:3 comment="PBE BaAl2W, relaxed" crystal_system=monoclinic dos_ef_per_ev_cell=6.39 sg="No. 12" magmom_total_mub_per_cell=0.0 de_polymorph_ev_per_atom=0.555 pbc="T T T"
Ba 0.0000 0.0000 0.0000
Ba 3.4533 4.1557 0.0000
Al 1.5975 2.0779 1.4713
Al 1.5975 6.2336 1.4713
Al 5.0508 2.0779 1.4713
Al 5.0508 6.2336 1.4713
W 0.0000 4.1557 0.0000
W 3.4533 0.0000 0.0000

=====

No. 9
8
Lattice="3.0009 0.0000 0.0000 0.0000 4.4984 0.0000 0.0000 0.0000 14.9197" Properties=species:S:1:pos:R:3 comment="PBE BaAl2W, relaxed" crystal_system=orthorhombic dos_ef_per_ev_cell=4.03 sg="No. 44" magmom_total_mub_per_cell=0.0 de_polymorph_ev_per_atom=0.139 pbc="T T T"
Ba 0.0000 0.0000 0.0000
Ba 1.5005 2.2492 7.4599
Al 0.0000 0.0000 5.2543
Al 0.0000 2.2492 3.0317
Al 1.5005 0.0000 10.4915
Al 1.5005 2.2492 12.7141
W 0.0000 2.2492 10.5787
W 1.5005 0.0000 3.1189

=====

No. 10
8
Lattice="9.3548 0.0000 0.0000 0.0000 2.9772 0.0000 -1.0178 0.0000 6.9358" Properties=species:S:1:pos:R:3 comment="PBE BaAl2W, relaxed" crystal_system=monoclinic dos_ef_per_ev_cell=3.10 sg="No. 8" magmom_total_mub_per_cell=0.0 de_polymorph_ev_per_atom=0.261 pbc="T T T"
Ba 0.0000 0.0000 0.0000
Ba 4.6774 1.4886 0.0000
Al 2.0255 1.4886 2.3210
Al 3.9579 0.0000 3.7376
Al 6.7029 0.0000 2.3210
Al 8.6353 1.4886 3.7376
W 1.3901 0.0000 4.4153
W 6.0675 1.4886 4.4153

=====

No. 11
16
Lattice="5.2649 0.0000 0.0000 0.0000 5.2649 0.0000 0.0000 0.0000 17.7197" Properties=species:S:1:pos:R:3 comment="PBE BaAl2W, relaxed" crystal_system=tetragonal dos_ef_per_ev_cell=19.31 sg="No. 141" magmom_total_mub_per_cell=5.3 de_polymorph_ev_per_atom=0.483 pbc="T T T"
Ba 0.0000 1.3162 6.6449
Ba 0.0000 3.9487 11.0748
Ba 2.6325 1.3162 2.2150
Ba 2.6325 3.9487 15.5048
Al 0.0000 0.0000 0.0000
Al 0.0000 2.6325 0.0000
Al 1.3162 1.3162 13.2898
Al 1.3162 3.9487 4.4299
Al 2.6325 0.0000 8.8599
Al 2.6325 2.6325 8.8599
Al 3.9487 1.3162 13.2898
Al 3.9487 3.9487 4.4299
W 0.0000 1.3162 15.5048
W 0.0000 3.9487 2.2150
W 2.6325 1.3162 11.0748
W 2.6325 3.9487 6.6449

=====

No. 12
12
Lattice="3.0961 0.0000 0.0000 -1.5480 2.6813 0.0000 0.0000 0.0000 30.9788" Properties=species:S:1:pos:R:3 comment="PBE BaAl2W, relaxed" crystal_system=trigonal dos_ef_per_ev_cell=8.32 sg="No. 166" magmom_total_mub_per_cell=0.0 de_polymorph_ev_per_atom=0.264 pbc="T T T"
Ba 0.0000 0.0000 0.0000
Ba 0.0000 1.7875 20.6525
Ba 1.5480 0.8938 10.3262
Al 0.0000 0.0000 7.2568
Al 0.0000 0.0000 23.7220
Al 0.0000 1.7875 13.3957
Al 0.0000 1.7875 27.9093
Al 1.5480 0.8938 3.0695
Al 1.5480 0.8938 17.5830
W 0.0000 0.0000 15.4894
W 0.0000 1.7875 5.1631
W 1.5480 0.8938 25.8156

=====

No. 13
12
Lattice="3.0611 0.0000 0.0000 -1.5305 2.6510 0.0000 0.0000 0.0000 31.5636" Properties=species:S:1:pos:R:3 comment="PBE BaAl2W, relaxed" crystal_system=trigonal dos_ef_per_ev_cell=10.01 sg="No. 160" magmom_total_mub_per_cell=0.0 de_polymorph_ev_per_atom=0.446 pbc="T T T"
Ba 0.0000 0.0000 0.0000
Ba 0.0000 1.7673 21.0424
Ba 1.5305 0.8837 10.5212
Al 0.0000 0.0000 15.8652
Al 0.0000 0.0000 24.1259
Al 0.0000 1.7673 5.3440
Al 0.0000 1.7673 13.6046
Al 1.5305 0.8837 3.0834
Al 1.5305 0.8837 26.3865
W 0.0000 0.0000 7.4395
W 0.0000 1.7673 28.4819
W 1.5305 0.8837 17.9607

=====

No. 14
5
Lattice="5.5762 0.0000 0.0000 0.0000 5.5762 0.0000 0.0000 0.0000 5.0506" Properties=species:S:1:pos:R:3 comment="PBE BaY2AlW, relaxed" crystal_system=tetragonal dos_ef_per_ev_cell=6.89 sg="No. 123" magmom_total_mub_per_cell=0.4 pbc="T T T"
Ba 0.0000 0.0000 0.0000
Y 0.0000 2.7881 0.0000
Y 2.7881 0.0000 0.0000
Al 2.7881 2.7881 2.5253
W 0.0000 0.0000 2.5253

=====

No. 15
5
Lattice="5.4606 0.0000 0.0000 0.0000 5.4606 0.0000 0.0000 0.0000 5.2583" Properties=species:S:1:pos:R:3 comment="PBE BaAl2ZnW, relaxed" crystal_system=tetragonal dos_ef_per_ev_cell=9.45 sg="No. 123" magmom_total_mub_per_cell=0.0 pbc="T T T"
Ba 0.0000 0.0000 0.0000
Al 0.0000 2.7303 0.0000
Al 2.7303 0.0000 0.0000
Zn 0.0000 0.0000 2.6292
W 2.7303 2.7303 2.6292

=====

no.,calculated total energy (eV/atom),ΔE_f (eV per atom)
1,-4.125,2.08
2,-5.000,0.59
3,-2.481,2.74
4,-5.342,0.25
5,-4.975,1.72
6,-5.520,0.69
7,-4.538,1.05
8,-4.787,0.80
9,-5.203,0.39
10,-5.082,0.51
11,-4.860,0.73
12,-5.078,0.51
13,-4.897,0.69
14,-4.358,1.95
15,-2.092,2.63